[1]
PBE Ce3Ge6Pd2Pt, optimized geometry; ρ = 8.45 g/cm3; calculated volume = 248.5 Å³/f.u.; E_form = -5.81 eV per formula unit; energy = -67.7 eV/cell; total magnetic moment = 1.49 Bohr magnetons per cell; space-group type = P-3m1, No. 164
1.0
5.9487 0.0000 0.0000
-2.9744 5.1517 0.0000
0.0000 0.0000 8.1082
Ce Ge Pd Pt
3 6 2 1
Direct
0.0000 0.0000 0.0000
0.3333 0.6667 0.6285
0.6667 0.3333 0.3715
0.1857 0.3714 0.2840
0.1857 0.8143 0.2840
0.3714 0.1857 0.7160
0.6286 0.8143 0.2840
0.8143 0.1857 0.7160
0.8143 0.6286 0.7160
0.3333 0.6667 0.0118
0.6667 0.3333 0.9882
0.0000 0.0000 0.5000

=====

[2]
PBE Ce3Ge6PdPt2, optimized geometry; ρ = 9.04 g/cm3; calculated volume = 248.4 Å³/f.u.; E_form = -5.85 eV per formula unit; energy = -68.6 eV/cell; total magnetic moment = 1.63 Bohr magnetons per cell; space-group type = P-3m1, No. 164
1.0
5.9999 0.0000 0.0000
-3.0000 5.1961 0.0000
0.0000 0.0000 7.9687
Ce Ge Pd Pt
3 6 1 2
Direct
0.0000 0.0000 0.0000
0.3333 0.6667 0.6539
0.6667 0.3333 0.3461
0.1886 0.3771 0.2918
0.1886 0.8114 0.2918
0.3771 0.1886 0.7082
0.6229 0.8114 0.2918
0.8114 0.1886 0.7082
0.8114 0.6229 0.7082
0.0000 0.0000 0.5000
0.3333 0.6667 0.0154
0.6667 0.3333 0.9846

=====

Copy entry 2 word for word.
PBE Ce3Ge6PdPt2, optimized geometry; ρ = 9.04 g/cm3; calculated volume = 248.4 Å³/f.u.; E_form = -5.85 eV per formula unit; energy = -68.6 eV/cell; total magnetic moment = 1.63 Bohr magnetons per cell; space-group type = P-3m1, No. 164
1.0
5.9999 0.0000 0.0000
-3.0000 5.1961 0.0000
0.0000 0.0000 7.9687
Ce Ge Pd Pt
3 6 1 2
Direct
0.0000 0.0000 0.0000
0.3333 0.6667 0.6539
0.6667 0.3333 0.3461
0.1886 0.3771 0.2918
0.1886 0.8114 0.2918
0.3771 0.1886 0.7082
0.6229 0.8114 0.2918
0.8114 0.1886 0.7082
0.8114 0.6229 0.7082
0.0000 0.0000 0.5000
0.3333 0.6667 0.0154
0.6667 0.3333 0.9846

=====

- Number 2 is which compound?
  Ce3Ge6PdPt2